one:
The following is a DFT calculation (PBE) of crystalline AcTb2Sn at its relaxed geometry.

The space group is R-3m (No. 166, hexagonal axes) and the conventional cell measures 3.6901, 3.6901 and 35.4612 Å, with angles of 90.00, 90.00 and 120.00 degrees. The asymmetric unit holds Ac at (0.0000, 0.0000, 0.0000), Tb at (0.0000, 0.0000, 0.1010) and Sn at (0.0000, 0.0000, 0.5000).

The value obtained for the total magnetization is 0.000 μB/cell. The calculation puts the density of states at the Fermi level at 13.3 states/eV/cell.

=====

two:
The following is a DFT calculation (PBE) of crystalline AcTb2Sn at its relaxed geometry.

The space group is Fm-3m (No. 225) and the conventional cell measures 7.870, 7.870 and 7.870 Å, with angles of 90.00, 90.00 and 90.00 degrees. The asymmetric unit holds Ac at (0.000, 0.000, 0.000), Tb at (0.250, 0.250, 0.250) and Sn at (0.000, 0.000, 0.500).

The value obtained for the total magnetization is 0.001 μB/cell. The calculation puts the density of states at the Fermi level at 24.6 states/eV/cell.

=====

three:
The following is a DFT calculation (PBE) of crystalline AcTb2Sn at its relaxed geometry.

The space group is P4/mmm (No. 123) and the conventional cell measures 5.039, 5.039 and 4.924 Å, with angles of 90.00, 90.00 and 90.00 degrees. The asymmetric unit holds Ac at (0.000, 0.000, 0.000), Tb at (0.000, 0.500, 0.500) and Sn at (0.500, 0.500, 0.000).

The value obtained for the total magnetization is 0.001 μB/cell. The calculation puts the density of states at the Fermi level at 5.9 states/eV/cell.

=====

Most stable structure among those shown: three.